{"formula": "Sn2SbHPd", "functional": "PBE", "state": "optimized geometry", "volume_a3_per_cell": 104.4, "space_group": "P4/mmm", "total_magnetization_mub_per_atom": 0.000, "total_energy_ev_per_fu": -20.767, "dos_ef_per_ev_atom": 0.500, "lattice_angstrom": [[5.452, 0.000, 0.000], [0.000, 5.452, 0.000], [0.000, 0.000, 3.511]], "species": ["Sn", "Sn", "Sb", "H", "Pd"], "fractional_positions": [[0.000, 0.500, 0.000], [0.500, 0.000, 0.000], [0.000, 0.000, 0.500], [0.500, 0.500, 0.500], [0.500, 0.500, 0.000]]}